Entry 1:
First-principles (PBE) data for a relaxed CaVOs crystal, as listed in Alexandria.

Unit cell a=17.273 b=3.934 c=8.509 alpha=90.00 beta=91.85 gamma=90.00
Space group C2/m (No. 12)
Symmetry-distinct sites (fractional):
Ca1 0.059 0.000 0.348 (multiplicity 4)
Ca2 0.099 0.500 0.876 (multiplicity 4)
V1 0.247 0.000 0.873 (multiplicity 4)
V2 0.248 0.000 0.375 (multiplicity 4)
Os1 0.172 0.000 0.624 (multiplicity 4)
Os2 0.175 0.000 0.116 (multiplicity 4)

**Final energy**: -7.245 eV/atom
**Magnetic moment**: 0.00 μB/cell
**DOS(E_F)**: 0.71 states/eV/atom



Entry 2:
First-principles (PBE) data for a relaxed AgGeAu4 crystal, as listed in Alexandria.

Unit cell a=7.825 b=7.825 c=7.825 alpha=90.00 beta=90.00 gamma=90.00
Space group F-43m (No. 216)
Symmetry-distinct sites (fractional):
Ag1 0.000 0.000 0.000 (multiplicity 4)
Ge1 0.250 0.250 0.750 (multiplicity 4)
Au1 0.125 0.125 0.375 (multiplicity 16)

**Distance to the lowest polymorph of the same formula**: 154 meV per atom
**Final energy**: -3.259 eV/atom
**Magnetic moment**: 0.00 μB/cell
**DOS(E_F)**: 0.61 states/eV/atom



Entry 3:
First-principles (PBE) data for a relaxed CsIn4S5 crystal, as listed in Alexandria.

Unit cell a=7.454 b=11.234 c=8.018 alpha=90.00 beta=90.00 gamma=90.00
Space group Pmmn (No. 59, origin choice 2)
Symmetry-distinct sites (fractional):
Cs1 0.250 0.250 0.150 (multiplicity 2)
In1 0.049 0.750 0.369 (multiplicity 4)
In2 0.250 0.568 0.964 (multiplicity 4)
S1 0.004 0.063 0.815 (multiplicity 8)
S2 0.250 0.750 0.787 (multiplicity 2)

**Final energy**: -3.704 eV/atom
**Magnetic moment**: 0.00 μB/cell
**DOS(E_F)**: 0.34 states/eV/atom



Entry 4:
First-principles (PBE) data for a relaxed Y3Ga crystal, as listed in Alexandria.

Unit cell a=4.747 b=4.747 c=4.747 alpha=90.00 beta=90.00 gamma=90.00
Space group Pm-3m (No. 221)
Symmetry-distinct sites (fractional):
Y1 0.000 0.000 0.500 (multiplicity 3)
Ga1 0.500 0.500 0.500 (multiplicity 1)

**Final energy**: -5.845 eV/atom
**Magnetic moment**: 1.12 μB/cell
**DOS(E_F)**: 1.00 states/eV/atom